(1)
## Sm6Ni2RhCl3 (GGA-PBE)

Data for an optimized crystal structure of Sm6Ni2RhCl3.

Values from the calculation:
- DFT total energy: -64.81 eV for the cell shown
- V: 309.7 Å³ per cell

a b c (Å): 4.0077 8.7655 9.6160
angles (deg): 109.93 102.03 90.00
With the nearest neighbours (Å) after each atom.
Positions (direct):
Sm  0.0129  0.2287  0.0258  1 Ni 2.76, 2 Rh 2.78
Sm  0.3251  0.4392  0.6501  3 Ni 2.74-2.75
Ni  0.8307  0.6566  0.6614  6 Sm 2.74-2.76
Cl  0.5000  0.5000  0.0000  6 Sm 3.14-3.18
Rh  0.5000  0.0000  0.0000  6 Sm 2.78
Sm  0.3421  0.8795  0.6842  2 Ni 2.75, 1 Rh 2.78
Cl  0.1673  0.8320  0.3346  6 Sm 3.15-3.28
Ni  0.1693  0.3434  0.3386  6 Sm 2.74-2.76
Cl  0.8327  0.1680  0.6654  6 Sm 3.15-3.28
Sm  0.6579  0.1205  0.3158  2 Ni 2.75, 1 Rh 2.78
Sm  0.6749  0.5608  0.3499  3 Ni 2.74-2.75
Sm  0.9871  0.7713  0.9742  1 Ni 2.76, 2 Rh 2.78

***

(2)
## LiMo2Br (GGA-PBE)

Data for an optimized crystal structure of LiMo2Br.

Values from the calculation:
- DFT total energy: -22.44 eV for the cell shown
- V: 64.1 Å³ per cell
- Excess energy over the best structure of this formula in the dataset: 61.1 kJ/mol of atoms

a b c (Å): 4.4911 4.4911 4.4911
angles (deg): 60.00 60.00 60.00
With the nearest neighbours (Å) after each atom.
Positions (direct):
Mo  0.0000  0.0000  0.0000  4 Mo 2.75, 4 Li 2.75
Mo  0.2500  0.2500  0.2500  4 Mo 2.75, 4 Br 2.75
Li  0.7500  0.7500  0.7500  4 Mo 2.75, 4 Br 2.75
Br  0.5000  0.5000  0.5000  4 Mo 2.75, 4 Li 2.75

***

(3)
## BeAgOs2 (GGA-PBE)

Data for an optimized crystal structure of BeAgOs2.

Values from the calculation:
- DFT total energy: -27.46 eV for the cell shown
- V: 54.3 Å³ per cell
- Formation energy from the elements: 393 meV/atom

a b c (Å): 2.7993 2.7993 6.9325
angles (deg): 90.00 90.00 90.00
With the nearest neighbours (Å) after each atom.
Positions (direct):
Os  0.0000  0.0000  0.9369  4 Be 2.37, 1 Os 2.59
Ag  0.5000  0.5000  0.2500  4 Ag 2.80, 8 Os 2.94
Os  0.0000  0.0000  0.5631  4 Be 2.37, 1 Os 2.59
Be  0.5000  0.5000  0.7500  8 Os 2.37

***

(4)
## NpTeCl (GGA-PBE)

Data for an optimized crystal structure of NpTeCl.

Values from the calculation:
- DFT total energy: -20.89 eV for the cell shown
- V: 80.9 Å³ per cell

a b c (Å): 4.1666 4.7349 4.7349
angles (deg): 120.00 90.00 90.00
With the nearest neighbours (Å) after each atom.
Positions (direct):
Te  0.6664  0.6667  0.3333  6 Cl 3.43-3.45, 6 Np 3.43-3.45
Np  0.1629  0.0000  0.0000  3 Cl 2.73
Cl  0.1706  0.3333  0.6667  3 Np 2.73

***

(5)
## Cs4Pm3GaO8 (GGA-PBE)

Data for an optimized crystal structure of Cs4Pm3GaO8.

Values from the calculation:
- DFT total energy: -95.28 eV for the cell shown
- V: 312.1 Å³ per cell

a b c (Å): 7.0531 7.9873 7.2909
angles (deg): 115.75 118.93 90.00
With the nearest neighbours (Å) after each atom.
Positions (direct):
O  0.1860  0.6483  0.9443  1 Ga 2.05
Cs  0.5000  0.0000  0.5000  6 O 3.02-3.26
O  0.7147  0.6675  0.4294  3 Pm 2.38-2.39
Cs  0.0000  0.0000  0.5000  6 O 3.02-3.26
Cs  0.5000  0.0000  0.0000  2 O 2.84
Pm  0.0000  0.5000  0.5000  6 O 2.35-2.48
Ga  0.0000  0.5000  0.0000  4 O 2.05
Pm  0.5000  0.5000  0.5000  6 O 2.35-2.48
O  0.2416  0.3517  0.0557  1 Ga 2.05
O  0.7584  0.6483  0.9443  1 Ga 2.05
Cs  0.0000  0.0000  0.0000  6 O 3.05-3.27
O  0.2553  0.6980  0.5107  2 Pm 2.35
O  0.8140  0.3517  0.0557  1 Ga 2.05
Pm  0.5000  0.5000  0.0000  6 O 2.38-2.45
O  0.7447  0.3020  0.4893  2 Pm 2.35
O  0.2853  0.3325  0.5706  3 Pm 2.38-2.39

***

Number 2 is which compound?
LiMo2Br

***

What is the formula in the second record?
LiMo2Br

***

What is the formula in the fourth record?
NpTeCl

***

V of number 5 (Cs4Pm3GaO8)?
312.1 Å³ per cell